Entry 1:
# PBE PuMgAl6, optimized geometry
data_PuMgAl6
_space_group_name_H-M_alt 'P 1'
_space_group_IT_number 1
_space_group_name_Hall 'P 1'
_cell_length_a 4.666
_cell_length_b 5.004
_cell_length_c 6.408
_cell_angle_alpha 90.00
_cell_angle_beta 90.00
_cell_angle_gamma 90.00
loop_
_atom_site_label
_atom_site_type_symbol
_atom_site_fract_x
_atom_site_fract_y
_atom_site_fract_z
Pu1 Pu 0.000 0.680 0.000
Mg1 Mg 0.500 0.350 0.500
Al1 Al 0.500 0.837 0.284
Al2 Al 0.000 0.177 0.724
Al3 Al 0.000 0.177 0.276
Al4 Al 0.500 0.837 0.716
Al5 Al 0.000 0.686 0.500
Al6 Al 0.500 0.256 0.000
# * M_tot: 5.513 μB/cell
# * uncorrected energy: -39.07 eV for the cell shown
# * crystal system: orthorhombic



Entry 2:
# PBE TmMgZnAu, optimized geometry
data_TmMgZnAu
_space_group_name_H-M_alt 'P 1'
_space_group_IT_number 1
_space_group_name_Hall 'P 1'
_cell_length_a 4.823
_cell_length_b 4.823
_cell_length_c 4.823
_cell_angle_alpha 60.00
_cell_angle_beta 60.00
_cell_angle_gamma 60.00
loop_
_atom_site_label
_atom_site_type_symbol
_atom_site_fract_x
_atom_site_fract_y
_atom_site_fract_z
Zn1 Zn 0.000 0.000 0.000
Tm1 Tm 0.750 0.750 0.750
Au1 Au 0.500 0.500 0.500
Mg1 Mg 0.250 0.250 0.250
# * M_tot: 0.000 μB/cell
# * uncorrected energy: -12.88 eV for the cell shown
# * crystal system: cubic



Calculated formation enthalpy at 0 K (meV per atom), listed in the same order as above: -86, -567